No. 1
! ScCoMo | Alexandria via LeMat-Bulk | PBE | optimized geometry; values from VASP
&SYSTEM
  ibrav = 0, nat = 3, ntyp = 3
/
ATOMIC_SPECIES
Sc 44.96 Sc.upf
Co 58.93 Co.upf
Mo 95.94 Mo.upf
ATOMIC_POSITIONS angstrom
Sc 0.0000 0.0000 0.0000
Co 0.0000 0.0000 3.4517
Mo 0.0000 0.0000 7.3540
CELL_PARAMETERS angstrom
-1.4973 1.4973 5.2890
1.4973 -1.4973 5.2890
1.4973 1.4973 -5.2890
! E: -8.07 eV/atom
! Formation enthalpy at 0 K: 4 kJ/mol of formula units
! Space group: I4mm, No. 107



No. 2
! DyErMnPd | Alexandria via LeMat-Bulk | PBE | optimized geometry; values from VASP
&SYSTEM
  ibrav = 0, nat = 4, ntyp = 4
/
ATOMIC_SPECIES
Dy 162.50 Dy.upf
Er 167.26 Er.upf
Mn 54.94 Mn.upf
Pd 106.42 Pd.upf
ATOMIC_POSITIONS angstrom
Dy 0.0000 0.0000 0.0000
Er 3.5065 3.5065 3.5065
Mn 1.7533 1.7533 1.7533
Pd 5.2598 5.2598 5.2598
CELL_PARAMETERS angstrom
0.0000 3.5065 3.5065
3.5065 0.0000 3.5065
3.5065 3.5065 0.0000
! E: -6.17 eV/atom
! Formation enthalpy at 0 K: -110 kJ/mol of formula units
! Space group: F-43m, No. 216



No. 3
! Tl2HgPdSe | Alexandria via LeMat-Bulk | PBE | optimized geometry; values from VASP
&SYSTEM
  ibrav = 0, nat = 5, ntyp = 4
/
ATOMIC_SPECIES
Tl 204.38 Tl.upf
Hg 200.59 Hg.upf
Pd 106.42 Pd.upf
Se 78.96 Se.upf
ATOMIC_POSITIONS angstrom
Tl 0.0000 2.7667 0.0000
Tl 2.7667 0.0000 0.0000
Hg 0.0000 0.0000 2.4694
Pd 2.7667 2.7667 0.0000
Se 2.7667 2.7667 2.4694
CELL_PARAMETERS angstrom
5.5334 0.0000 0.0000
0.0000 5.5334 0.0000
0.0000 0.0000 4.9389
! E: -2.84 eV/atom
! Space group: P4/mmm, No. 123



No. 4
! LiScGa4 | Alexandria via LeMat-Bulk | PBE | optimized geometry; values from VASP
&SYSTEM
  ibrav = 0, nat = 6, ntyp = 3
/
ATOMIC_SPECIES
Li 6.94 Li.upf
Sc 44.96 Sc.upf
Ga 69.72 Ga.upf
ATOMIC_POSITIONS angstrom
Li 0.0000 0.0000 0.0000
Sc 0.0000 3.2582 0.0000
Ga 2.1440 1.3775 -1.2609
Ga 2.1440 1.3775 1.2609
Ga 0.0000 1.8807 2.5172
Ga 0.0000 1.8807 5.0391
CELL_PARAMETERS angstrom
-2.1440 3.2582 3.7781
2.1440 -3.2582 3.7781
2.1440 3.2582 -3.7781
! E: -3.81 eV/atom
! Formation enthalpy at 0 K: -242 kJ/mol of formula units
! Space group: Immm, No. 71



No. 5
! InCuOF2 | Alexandria via LeMat-Bulk | PBE | optimized geometry; values from VASP
&SYSTEM
  ibrav = 0, nat = 5, ntyp = 4
/
ATOMIC_SPECIES
In 114.82 In.upf
Cu 63.55 Cu.upf
O 16.00 O.upf
F 19.00 F.upf
ATOMIC_POSITIONS angstrom
In 0.0000 0.0000 0.0000
Cu 1.9994 1.9994 2.0001
O 1.9994 1.9994 0.0000
F 0.0000 1.9994 2.0001
F 1.9994 0.0000 2.0001
CELL_PARAMETERS angstrom
3.9988 0.0000 0.0000
0.0000 3.9988 0.0000
0.0000 0.0000 4.0002
! E: -4.25 eV/atom
! Space group: P4/mmm, No. 123



No. 6
! Ca2ScPt | Alexandria via LeMat-Bulk | PBE | optimized geometry; values from VASP
&SYSTEM
  ibrav = 0, nat = 4, ntyp = 3
/
ATOMIC_SPECIES
Ca 40.08 Ca.upf
Sc 44.96 Sc.upf
Pt 195.08 Pt.upf
ATOMIC_POSITIONS angstrom
Ca 1.8221 1.8221 1.8221
Ca 5.4663 5.4663 5.4663
Sc 0.0000 0.0000 0.0000
Pt 3.6442 3.6442 3.6442
CELL_PARAMETERS angstrom
0.0000 3.6442 3.6442
3.6442 0.0000 3.6442
3.6442 3.6442 0.0000
! E: -4.24 eV/atom
! Formation enthalpy at 0 K: -56 kJ/mol of formula units
! Space group: Fm-3m, No. 225



No. 7
! Th8Ir3AuSe4 | Alexandria via LeMat-Bulk | PBE | optimized geometry; values from VASP
&SYSTEM
  ibrav = 0, nat = 16, ntyp = 4
/
ATOMIC_SPECIES
Th 232.04 Th.upf
Ir 192.22 Ir.upf
Au 196.97 Au.upf
Se 78.96 Se.upf
ATOMIC_POSITIONS angstrom
Th -2.1556 -1.2445 12.6363
Th 0.0000 0.0000 5.2827
Th 0.0000 -2.4891 9.3286
Th -2.1556 1.2445 9.3286
Th 2.1556 -1.2445 12.6363
Th 0.0000 2.4891 12.6363
Th 0.0000 0.0000 16.6822
Th 2.1556 1.2445 9.3286
Ir -4.1563 0.0000 10.9824
Ir -2.0782 1.1998 3.6608
Ir 2.0782 1.1998 3.6608
Au 0.0000 0.0000 10.9824
Se 0.0000 0.0000 0.0000
Se -2.0782 -1.1998 7.3216
Se -2.0782 1.1998 14.6433
Se 0.0000 2.3997 7.3216
CELL_PARAMETERS angstrom
4.1563 2.3997 7.3216
-4.1563 2.3997 7.3216
0.0000 -4.7993 7.3216
! E: -7.68 eV/atom
! Space group: R-3m, No. 166



No. 8
! Ce2Si6IrOs | Alexandria via LeMat-Bulk | PBE | optimized geometry; values from VASP
&SYSTEM
  ibrav = 0, nat = 20, ntyp = 4
/
ATOMIC_SPECIES
Ce 140.12 Ce.upf
Si 28.09 Si.upf
Ir 192.22 Ir.upf
Os 190.23 Os.upf
ATOMIC_POSITIONS angstrom
Ce 1.5152 0.0181 1.7711
Ce 1.5152 4.2163 1.7711
Ce 4.5455 4.2525 5.5989
Ce 4.5455 8.4508 5.5989
Si 0.3087 6.3516 7.0555
Si 0.3745 2.1172 4.0217
Si 1.5152 4.4834 6.1055
Si 1.5152 8.2199 6.1055
Si 2.6559 2.1172 4.0217
Si 2.7216 6.3516 7.0555
Si 3.3391 2.1172 0.3145
Si 3.4048 6.3516 3.3483
Si 4.5455 0.2489 1.2645
Si 4.5455 3.9855 1.2645
Si 5.6862 6.3516 3.3483
Si 5.7520 2.1172 0.3145
Ir 1.5152 6.3516 4.6185
Ir 4.5455 2.1172 2.7514
Os 1.5152 2.1172 6.1819
Os 4.5455 6.3516 1.1881
CELL_PARAMETERS angstrom
6.0607 0.0000 0.0000
0.0000 8.4689 0.0000
0.0000 0.0000 7.3700
! E: -6.96 eV/atom
! Space group: Pmmn, No. 59



No. 9
! TmPuGe | Alexandria via LeMat-Bulk | PBE | optimized geometry; values from VASP
&SYSTEM
  ibrav = 0, nat = 6, ntyp = 3
/
ATOMIC_SPECIES
Tm 168.93 Tm.upf
Pu 244.00 Pu.upf
Ge 72.64 Ge.upf
ATOMIC_POSITIONS angstrom
Tm 1.5695 0.0000 1.1471
Tm 4.7086 0.0000 6.1106
Pu 1.5695 1.7457 5.3847
Pu 4.7086 1.7457 1.8731
Ge 0.0000 0.0000 3.6289
Ge 3.1391 0.0000 3.6289
CELL_PARAMETERS angstrom
6.2781 0.0000 0.0000
0.0000 3.4914 0.0000
0.0000 0.0000 7.2578
! E: -7.95 eV/atom
! Formation enthalpy at 0 K: -42 kJ/mol of formula units
! Space group: Pmma, No. 51



No. 10
! PmHg2Sb | Alexandria via LeMat-Bulk | PBE | optimized geometry; values from VASP
&SYSTEM
  ibrav = 0, nat = 4, ntyp = 3
/
ATOMIC_SPECIES
Pm 145.00 Pm.upf
Hg 200.59 Hg.upf
Sb 121.76 Sb.upf
ATOMIC_POSITIONS angstrom
Pm 0.0000 0.0000 0.0000
Hg 0.0000 0.0000 3.0968
Hg 0.0000 0.0000 31.7221
Sb 0.0000 0.0000 17.4094
CELL_PARAMETERS angstrom
1.7197 0.9929 11.6063
-1.7197 0.9929 11.6063
0.0000 -1.9858 11.6063
! E: -2.23 eV/atom
! Space group: R-3m, No. 166



No. 11
! Zr2Cd3Ag2 | Alexandria via LeMat-Bulk | PBE | optimized geometry; values from VASP
&SYSTEM
  ibrav = 0, nat = 7, ntyp = 3
/
ATOMIC_SPECIES
Zr 91.22 Zr.upf
Cd 112.41 Cd.upf
Ag 107.87 Ag.upf
ATOMIC_POSITIONS angstrom
Zr 1.2986 0.0000 1.0201
Zr 3.6523 0.0000 6.0042
Cd 1.0135 0.0000 4.1237
Cd 4.1433 0.0000 0.0000
Cd 3.9374 0.0000 2.9006
Ag -1.8219 0.0000 4.9922
Ag 6.7728 0.0000 2.0321
CELL_PARAMETERS angstrom
4.1433 -2.4900 0.0000
4.1433 2.4900 0.0000
-3.3357 0.0000 7.0243
! E: -3.65 eV/atom
! Formation enthalpy at 0 K: 2 kJ/mol of formula units
! Space group: C2/m, No. 12



No. 12
! RbBa2La2 | Alexandria via LeMat-Bulk | PBE | optimized geometry; values from VASP
&SYSTEM
  ibrav = 0, nat = 10, ntyp = 3
/
ATOMIC_SPECIES
Rb 85.47 Rb.upf
Ba 137.33 Ba.upf
La 138.91 La.upf
ATOMIC_POSITIONS angstrom
Rb 0.0000 0.0000 0.0000
Rb 5.7663 5.7663 0.0000
Ba 2.1719 3.5944 2.0373
Ba 3.5944 9.3607 2.0373
Ba 7.9382 2.1719 2.0373
Ba 9.3607 7.9382 2.0373
La 1.1114 6.8777 0.0000
La 4.6549 1.1114 0.0000
La 6.8777 10.4212 0.0000
La 10.4212 4.6549 0.0000
CELL_PARAMETERS angstrom
11.5326 0.0000 0.0000
0.0000 11.5326 0.0000
0.0000 0.0000 4.0746
! E: -2.61 eV/atom
! Formation enthalpy at 0 K: 154 kJ/mol of formula units
! Space group: P4/mbm, No. 127